Here is a crystal of TaCdPb relaxed with PBEsol from Alexandria via LeMat-Bulk. Energies are from SCAN.

Its excess energy over the best structure of this formula in the dataset is 0 meV/atom. As for the density of states at the Fermi level: 0.540 states/eV per atom. For the formation energy, the calculation gives 0.59 eV per atom.

```
data_TaCdPb
_chemical_formula_sum 'Ta2 Cd2 Pb2'
_symmetry_space_group_name_H-M 'I m m 2'
_symmetry_Int_Tables_number 44
_cell_length_a 3.101
_cell_length_b 4.002
_cell_length_c 10.210
_cell_angle_alpha 90.00
_cell_angle_beta 90.00
_cell_angle_gamma 90.00
loop_
_symmetry_equiv_pos_as_xyz
'x,y,z'
'-x,-y,z'
'-x,y,z'
'x,-y,z'
'x+1/2,y+1/2,z+1/2'
'-x+1/2,-y+1/2,z+1/2'
'-x+1/2,y+1/2,z+1/2'
'x+1/2,-y+1/2,z+1/2'
loop_
_atom_site_label
_atom_site_fract_x
_atom_site_fract_y
_atom_site_fract_z
Ta1 0.000 0.000 0.000
Cd1 0.000 0.000 0.645
Pb1 0.000 0.000 0.327
```

---

Here is a crystal of TaCd3Pb relaxed with PBEsol from Alexandria via LeMat-Bulk. Energies are from SCAN.

As for the density of states at the Fermi level: 0.706 states/eV per atom. For the formation energy, the calculation gives 1.03 eV per atom.

```
data_TaCd3Pb
_chemical_formula_sum 'Ta1 Cd3 Pb1'
_symmetry_space_group_name_H-M 'P m -3 m'
_symmetry_Int_Tables_number 221
_symmetry_space_group_name_Hall '-P 4 2 3'
_cell_length_a 5.288
_cell_length_b 5.288
_cell_length_c 5.288
_cell_angle_alpha 90.00
_cell_angle_beta 90.00
_cell_angle_gamma 90.00
loop_
_atom_site_label
_atom_site_fract_x
_atom_site_fract_y
_atom_site_fract_z
Ta1 0.000 0.000 0.000
Cd1 0.000 0.000 0.500
Pb1 0.500 0.500 0.500
```

---

Here is a crystal of Cd4Te5Pb relaxed with PBEsol from Alexandria via LeMat-Bulk. Energies are from SCAN.

As for the formation energy (no corrections): -0.406 eV per atom. As for the density of states at the Fermi level: 0.000 states/eV per atom.

```
data_Cd4Te5Pb
_chemical_formula_sum 'Cd8 Te10 Pb2'
_symmetry_space_group_name_H-M 'I m m 2'
_symmetry_Int_Tables_number 44
_cell_length_a 4.606
_cell_length_b 23.887
_cell_length_c 6.589
_cell_angle_alpha 90.00
_cell_angle_beta 90.00
_cell_angle_gamma 90.00
loop_
_symmetry_equiv_pos_as_xyz
'x,y,z'
'-x,-y,z'
'-x,y,z'
'x,-y,z'
'x+1/2,y+1/2,z+1/2'
'-x+1/2,-y+1/2,z+1/2'
'-x+1/2,y+1/2,z+1/2'
'x+1/2,-y+1/2,z+1/2'
loop_
_atom_site_label
_atom_site_fract_x
_atom_site_fract_y
_atom_site_fract_z
Cd1 0.000 0.106 0.000
Cd2 0.000 0.294 0.008
Te1 0.000 0.000 0.196
Te2 0.000 0.199 0.262
Te3 0.000 0.389 0.258
Pb1 0.000 0.500 0.003
```

---

Here is a crystal of Tl2CdPb relaxed with PBEsol from Alexandria via LeMat-Bulk. Energies are from SCAN.

As for the density of states at the Fermi level: 0.447 states/eV per atom. For the formation energy, the calculation gives 0.05 eV per atom.

```
data_Tl2CdPb
_chemical_formula_sum 'Tl4 Cd2 Pb2'
_symmetry_space_group_name_H-M 'I m m 2'
_symmetry_Int_Tables_number 44
_cell_length_a 3.701
_cell_length_b 5.420
_cell_length_c 10.797
_cell_angle_alpha 90.00
_cell_angle_beta 90.00
_cell_angle_gamma 90.00
loop_
_symmetry_equiv_pos_as_xyz
'x,y,z'
'-x,-y,z'
'-x,y,z'
'x,-y,z'
'x+1/2,y+1/2,z+1/2'
'-x+1/2,-y+1/2,z+1/2'
'-x+1/2,y+1/2,z+1/2'
'x+1/2,-y+1/2,z+1/2'
loop_
_atom_site_label
_atom_site_fract_x
_atom_site_fract_y
_atom_site_fract_z
Tl1 0.000 0.000 0.000
Tl2 0.000 0.500 0.237
Cd1 0.000 0.500 0.733
Pb1 0.000 0.000 0.470
```

---

Here is a crystal of TlCd2Pb relaxed with PBEsol from Alexandria via LeMat-Bulk. Energies are from SCAN.

As for the density of states at the Fermi level: 0.367 states/eV per atom. For the formation energy, the calculation gives 0.06 eV per atom.

```
data_TlCd2Pb
_chemical_formula_sum 'Tl1 Cd2 Pb1'
_symmetry_space_group_name_H-M 'P 1 m 1'
_symmetry_Int_Tables_number 6
_cell_length_a 3.349
_cell_length_b 5.133
_cell_length_c 6.128
_cell_angle_alpha 90.00
_cell_angle_beta 104.89
_cell_angle_gamma 90.00
loop_
_symmetry_equiv_pos_as_xyz
'x,y,z'
'x,-y,z'
loop_
_atom_site_label
_atom_site_fract_x
_atom_site_fract_y
_atom_site_fract_z
Tl1 0.000 0.000 0.000
Cd1 0.596 0.500 0.186
Cd2 0.727 0.000 0.476
Pb1 0.320 0.500 0.660
```

---

Here is a crystal of TlCd4Pb relaxed with PBEsol from Alexandria via LeMat-Bulk. Energies are from SCAN.

As for the density of states at the Fermi level: 0.300 states/eV per atom. For the formation energy, the calculation gives 0.04 eV per atom.

```
data_TlCd4Pb
_chemical_formula_sum 'Tl4 Cd16 Pb4'
_symmetry_space_group_name_H-M 'F -4 3 m'
_symmetry_Int_Tables_number 216
_symmetry_space_group_name_Hall 'F -4 2 3'
_cell_length_a 8.329
_cell_length_b 8.329
_cell_length_c 8.329
_cell_angle_alpha 90.00
_cell_angle_beta 90.00
_cell_angle_gamma 90.00
loop_
_atom_site_label
_atom_site_fract_x
_atom_site_fract_y
_atom_site_fract_z
Tl1 0.000 0.000 0.000
Cd1 0.125 0.125 0.375
Pb1 0.250 0.250 0.750
```

---

Here is a crystal of TlCd2Pb relaxed with PBEsol from Alexandria via LeMat-Bulk. Energies are from SCAN.

As for the density of states at the Fermi level: 0.391 states/eV per atom. For the formation energy, the calculation gives 0.04 eV per atom.

```
data_TlCd2Pb
_chemical_formula_sum 'Tl1 Cd2 Pb1'
_symmetry_space_group_name_H-M 'P 4 m m'
_symmetry_Int_Tables_number 99
_cell_length_a 3.329
_cell_length_b 3.329
_cell_length_c 9.006
_cell_angle_alpha 90.00
_cell_angle_beta 90.00
_cell_angle_gamma 90.00
loop_
_symmetry_equiv_pos_as_xyz
'x,y,z'
'-y,x,z'
'-x,-y,z'
'y,-x,z'
'-x,y,z'
'y,x,z'
'x,-y,z'
'-y,-x,z'
loop_
_atom_site_label
_atom_site_fract_x
_atom_site_fract_y
_atom_site_fract_z
Tl1 0.000 0.000 0.000
Cd1 0.000 0.000 0.456
Cd2 0.500 0.500 0.249
Pb1 0.500 0.500 0.707
```

---

Here is a crystal of Tl2CdPb relaxed with PBEsol from Alexandria via LeMat-Bulk. Energies are from SCAN.

As for the density of states at the Fermi level: 0.420 states/eV per atom. For the formation energy, the calculation gives 0.05 eV per atom.

```
data_Tl2CdPb
_chemical_formula_sum 'Tl4 Cd2 Pb2'
_symmetry_space_group_name_H-M 'C 1 m 1'
_symmetry_Int_Tables_number 8
_cell_length_a 11.033
_cell_length_b 3.372
_cell_length_c 5.909
_cell_angle_alpha 90.00
_cell_angle_beta 102.05
_cell_angle_gamma 90.00
loop_
_symmetry_equiv_pos_as_xyz
'x,y,z'
'x,-y,z'
'x+1/2,y+1/2,z'
'x+1/2,-y+1/2,z'
loop_
_atom_site_label
_atom_site_fract_x
_atom_site_fract_y
_atom_site_fract_z
Tl1 0.000 0.000 0.000
Tl2 0.243 0.000 0.749
Cd1 0.241 0.500 0.247
Pb1 0.485 0.000 0.485
```